[1]
A plane-wave DFT calculation with GGA-PBE was carried out for a geometry-optimized DyNi6B6 structure.

Geometry as POSCAR:
```
DyNi6B6
1.0
4.231 0.000 0.000
2.116 5.275 0.015
2.116 0.141 5.273
Dy Ni B
1 6 6
Cartesian
0.000 0.000 0.000
4.231 3.525 3.442
4.231 1.890 1.846
2.116 1.893 3.478
2.116 3.523 1.809
2.116 1.047 1.022
6.347 4.369 4.265
1.058 2.637 0.007
3.174 2.637 0.007
1.058 0.071 2.636
3.174 0.071 2.636
4.231 4.030 1.290
4.231 1.386 3.998
```

Computed properties:
As for the symmetry: No. 71. As for the formation energy: -0.048 eV per atom. The calculation puts the total magnetization at 0.00 μB per formula unit.

[2]
A plane-wave DFT calculation with GGA-PBE was carried out for a geometry-optimized Fe2CoCuN structure.

Geometry as POSCAR:
```
Fe2CoCuN
1.0
-1.134 -2.270 -2.798
3.602 -0.641 -0.940
0.090 -2.917 2.331
Co Fe Cu N
1 2 1 1
Cartesian
0.045 -1.459 1.165
1.801 -0.320 -0.470
-0.567 -1.135 -1.399
1.279 -2.914 -0.704
0.000 0.000 0.000
```

Computed properties:
As for the symmetry: No. 123. As for the energy relative to the elements, uncorrected: -1.4 kJ per mole of atoms. The calculation puts the total magnetization at 5.65 μB per formula unit.

[3]
A plane-wave DFT calculation with GGA-PBE was carried out for a geometry-optimized Sm2Al4RuPt3 structure.

Geometry as POSCAR:
```
Sm2Al4RuPt3
1.0
4.313 0.000 0.000
0.000 4.313 0.000
0.000 0.000 10.105
Sm Al Ru Pt
2 4 1 3
Cartesian
2.156 0.000 2.645
0.000 2.156 7.460
2.156 2.156 0.000
0.000 0.000 0.000
2.156 0.000 6.288
0.000 2.156 3.818
2.156 2.156 5.053
0.000 0.000 5.053
2.156 0.000 8.769
0.000 2.156 1.336
```

Computed properties:
As for the symmetry: No. 115. As for the formation energy: -1.021 eV per atom. The calculation puts the total magnetization at 0.00 μB per formula unit.

[4]
A plane-wave DFT calculation with GGA-PBE was carried out for a geometry-optimized Ca3Pr2TmSe6 structure.

Geometry as POSCAR:
```
Ca3Pr2TmSe6
1.0
-0.488 6.612 2.863
-4.765 -2.122 -4.995
-2.366 -3.960 5.690
Ca Pr Tm Se
3 2 1 6
Cartesian
-5.221 -2.617 -0.814
-2.398 3.147 4.372
-3.810 0.265 1.779
-3.335 0.798 -2.368
-1.918 3.692 0.236
0.000 0.000 0.000
-5.056 1.833 3.903
-4.618 2.433 -0.191
-2.564 -1.303 -0.345
-6.427 -0.967 1.384
-3.002 -1.903 3.749
-1.193 1.497 2.174
```

Computed properties:
As for the symmetry: No. 12. As for the energy relative to the elements, uncorrected: -181.3 kJ per mole of atoms. The calculation puts the total magnetization at 0.00 μB per formula unit.

[5]
A plane-wave DFT calculation with GGA-PBE was carried out for a geometry-optimized NdSnHgI6 structure.

Geometry as POSCAR:
```
NdSnHgI6
1.0
-5.888 4.506 -2.859
-2.488 -0.992 -7.481
-4.944 -5.003 2.304
Nd Sn Hg I
1 1 1 6
Cartesian
-5.263 -1.330 -2.295
-8.056 -0.158 -5.742
-4.944 -5.003 2.303
-2.146 -1.618 -2.010
-5.723 -2.158 0.702
-8.369 -1.130 -2.740
-5.310 -4.351 -3.162
-4.928 -0.369 -5.269
-5.107 1.644 -1.290
```

Computed properties:
As for the symmetry: No. 5. As for the energy relative to the elements, uncorrected: -74.8 kJ per mole of atoms. The calculation puts the total magnetization at 0.00 μB per formula unit.

[6]
A plane-wave DFT calculation with GGA-PBE was carried out for a geometry-optimized La3Ho8Er4 structure.

Geometry as POSCAR:
```
La3Ho8Er4
1.0
-5.518 -0.816 10.173
-3.043 -2.351 -8.456
8.246 -3.521 -2.426
La Ho Er
3 8 4
Cartesian
-4.280 -1.584 0.859
1.364 -2.168 3.874
-0.157 -3.344 -0.354
-1.574 -1.968 2.565
1.067 -2.777 -6.261
-4.125 -2.317 7.274
-3.041 -3.045 -1.895
2.727 -3.643 1.186
3.811 -4.371 -7.983
4.137 -3.095 -4.621
1.260 -4.720 -3.274
-2.759 -0.408 5.087
-1.522 -1.176 -4.228
0.000 0.000 0.000
4.123 -1.760 -1.213
```

Computed properties:
As for the symmetry: No. 12. As for the formation energy: 0.391 eV per atom. The calculation puts the total magnetization at 0.01 μB per formula unit.

[7]
A plane-wave DFT calculation with GGA-PBE was carried out for a geometry-optimized CuSbRu2 structure.

Geometry as POSCAR:
```
CuSbRu2
1.0
3.898 0.000 0.000
0.000 3.898 0.000
1.949 1.949 9.037
Sb Cu Ru
2 2 4
Cartesian
0.000 0.000 0.000
3.898 1.949 4.518
1.949 1.949 0.000
1.949 3.898 4.518
2.687 0.975 2.259
1.211 2.924 2.259
2.924 3.160 6.778
4.873 4.636 6.778
```

Computed properties:
As for the symmetry: No. 122. As for the energy relative to the elements, uncorrected: 45.5 kJ per mole of atoms. The calculation puts the total magnetization at 1.20 μB per formula unit.

[8]
A plane-wave DFT calculation with GGA-PBE was carried out for a geometry-optimized CsAlSbTe2 structure.

Geometry as POSCAR:
```
CsAlSbTe2
1.0
-3.592 0.168 -4.433
3.048 -4.051 -2.623
-3.027 -3.773 2.309
Cs Sb Te Al
1 1 2 1
Cartesian
-1.785 -3.828 -2.374
-1.513 -1.886 1.155
1.524 -2.026 -1.312
-1.796 0.084 -2.217
0.000 0.000 0.000
```

Computed properties:
As for the symmetry: No. 123. As for the energy relative to the elements, uncorrected: -14.4 kJ per mole of atoms. The calculation puts the total magnetization at 0.00 μB per formula unit. The excess energy over the best structure of this formula in the dataset comes out at 0 meV per atom.

[9]
A plane-wave DFT calculation with GGA-PBE was carried out for a geometry-optimized Sm2GeRh3 structure.

Geometry as POSCAR:
```
Sm2GeRh3
1.0
5.166 -0.001 -0.001
2.066 4.735 -0.001
2.066 1.352 4.538
Sm Ge Rh
2 1 3
Cartesian
8.105 5.305 3.953
1.194 0.781 0.582
4.649 3.043 2.268
2.066 3.044 2.268
3.616 2.367 -0.001
3.616 0.676 2.268
```

Computed properties:
As for the symmetry: No. 166. As for the formation energy: -0.842 eV per atom. The calculation puts the total magnetization at 0.00 μB per formula unit.

[10]
A plane-wave DFT calculation with GGA-PBE was carried out for a geometry-optimized TlMoRu2 structure.

Geometry as POSCAR:
```
TlMoRu2
1.0
2.959 0.000 0.000
0.000 2.968 -0.005
0.000 2.991 7.533
Mo Ru Tl
1 2 1
Cartesian
1.479 4.469 5.646
0.000 2.989 7.318
0.000 2.981 3.978
1.479 1.490 1.882
```

Computed properties:
As for the symmetry: No. 10. As for the formation energy: 0.302 eV per atom. The calculation puts the total magnetization at 0.00 μB per formula unit. The excess energy over the best structure of this formula in the dataset comes out at 0 meV per atom.

[11]
A plane-wave DFT calculation with GGA-PBE was carried out for a geometry-optimized CaMg3Cu structure.

Geometry as POSCAR:
```
CaMg3Cu
1.0
6.101 0.000 0.000
0.000 6.101 0.000
0.000 0.000 6.101
Ca Mg Cu
1 3 1
Cartesian
0.000 0.000 0.000
0.000 3.051 0.000
0.000 0.000 3.051
3.051 0.000 0.000
3.051 3.051 3.051
```

Computed properties:
As for the symmetry: No. 221. As for the formation energy: 1.214 eV per atom. The calculation puts the total magnetization at 0.00 μB per formula unit. The excess energy over the best structure of this formula in the dataset comes out at 1321 meV per atom.

[12]
A plane-wave DFT calculation with GGA-PBE was carried out for a geometry-optimized TbHoPb structure.

Geometry as POSCAR:
```
TbHoPb
1.0
4.344 0.000 -0.002
0.000 4.383 0.000
0.004 -2.193 9.901
Tb Ho Pb
2 2 2
Cartesian
1.508 1.266 2.169
3.682 1.266 5.983
3.681 1.265 9.807
1.508 -0.926 8.245
1.510 -0.924 5.140
3.681 3.456 3.011
```

Computed properties:
As for the symmetry: No. 63. As for the formation energy: -0.159 eV per atom. The calculation puts the total magnetization at 0.00 μB per formula unit. The excess energy over the best structure of this formula in the dataset comes out at 86 meV per atom.